Below is an optimized crystal structure of Fe2POs, with properties calculated at the PBE level.

As for the formation energy: 0.0740 eV per atom. Its total energy is -33.27 eV per formula unit. The density of states at the Fermi level comes out at 7.6 states/eV per cell. The value obtained for the volume is 12.4 A^3/atom.

It has space group Cmmm (No. 65), with a = 4.760 Å, b = 7.534 Å, c = 2.756 Å, α = 90.00°, β = 90.00° and γ = 90.00°. Symmetry generates all atoms from Fe at (0.250, 0.250, 0.000), P at (0.000, 0.000, 0.500) and Os at (0.000, 0.500, 0.500).

=====

Below is an optimized crystal structure of Fe2POs, with properties calculated at the PBE level.

As for the formation energy: -0.0267 eV per atom. Its total energy is -33.67 eV per formula unit. The density of states at the Fermi level comes out at 11.3 states/eV per cell. The value obtained for the volume is 11.7 A^3/atom.

It has space group R-3m (No. 166, hexagonal axes), with a = 2.6562 Å, b = 2.6562 Å, c = 23.0475 Å, α = 90.00°, β = 90.00° and γ = 120.00°. Symmetry generates all atoms from Fe at (0.0000, 0.0000, 0.2415), P at (0.0000, 0.0000, 0.5000) and Os at (0.0000, 0.0000, 0.0000).

=====

Below is an optimized crystal structure of FeP3Os, with properties calculated at the PBE level.

As for the formation energy: 0.9715 eV per atom. Its total energy is -31.06 eV per formula unit. The density of states at the Fermi level comes out at 3.4 states/eV per cell. The value obtained for the volume is 15.2 A^3/atom.

It has space group Pm-3m (No. 221), with a = 4.233 Å, b = 4.233 Å, c = 4.233 Å, α = 90.00°, β = 90.00° and γ = 90.00°. Symmetry generates all atoms from Fe at (0.000, 0.000, 0.000), P at (0.000, 0.000, 0.500) and Os at (0.500, 0.500, 0.500).

=====

Below is an optimized crystal structure of Fe2POs, with properties calculated at the PBE level.

As for the formation energy: -0.0543 eV per atom. Its total energy is -33.78 eV per formula unit. The density of states at the Fermi level comes out at 8.3 states/eV per cell. The value obtained for the volume is 11.6 A^3/atom.

It has space group Immm (No. 71), with a = 2.798 Å, b = 4.080 Å, c = 8.106 Å, α = 90.00°, β = 90.00° and γ = 90.00°. Symmetry generates all atoms from Fe at (0.000, 0.000, 0.220), P at (0.000, 0.500, 0.500) and Os at (0.000, 0.500, 0.000).

=====

Below is an optimized crystal structure of Fe2POs, with properties calculated at the PBE level.

As for the formation energy: 0.2297 eV per atom. Its total energy is -32.65 eV per formula unit. The density of states at the Fermi level comes out at 9.0 states/eV per cell. The value obtained for the volume is 12.4 A^3/atom.

It has space group Cmmm (No. 65), with a = 2.838 Å, b = 4.459 Å, c = 7.860 Å, α = 90.00°, β = 90.00° and γ = 90.00°. Symmetry generates all atoms from Fe at (0.000, 0.000, 0.224), P at (0.000, 0.500, 0.000) and Os at (0.000, 0.500, 0.500).

=====

Below is an optimized crystal structure of Fe2POs, with properties calculated at the PBE level.

As for the formation energy: -0.1040 eV per atom. Its total energy is -33.98 eV per formula unit. The density of states at the Fermi level comes out at 2.8 states/eV per cell. The value obtained for the volume is 11.3 A^3/atom.

It has space group P4/mmm (No. 123), with a = 2.669 Å, b = 2.669 Å, c = 6.363 Å, α = 90.00°, β = 90.00° and γ = 90.00°. Symmetry generates all atoms from Fe at (0.000, 0.000, 0.207), P at (0.500, 0.500, 0.000) and Os at (0.500, 0.500, 0.500).

=====

Below is an optimized crystal structure of Fe2POs, with properties calculated at the PBE level.

As for the formation energy: 0.2753 eV per atom. Its total energy is -32.46 eV per formula unit. The density of states at the Fermi level comes out at 6.6 states/eV per cell. The value obtained for the volume is 13.0 A^3/atom.

It has space group Cmm2 (No. 35), with a = 2.902 Å, b = 4.624 Å, c = 7.748 Å, α = 90.00°, β = 90.00° and γ = 90.00°. Symmetry generates all atoms from Fe at (0.000, 0.000, 0.000), Fe at (0.000, 0.500, 0.252), P at (0.000, 0.000, 0.477) and Os at (0.000, 0.500, 0.718).

=====

Below is an optimized crystal structure of FeP2Os2, with properties calculated at the PBE level.

As for the formation energy: 0.2257 eV per atom. Its total energy is -40.61 eV per formula unit. The density of states at the Fermi level comes out at 7.2 states/eV per cell. The value obtained for the volume is 13.7 A^3/atom.

It has space group P4/mbm (No. 127), with a = 6.909 Å, b = 6.909 Å, c = 2.866 Å, α = 90.00°, β = 90.00° and γ = 90.00°. Symmetry generates all atoms from Fe at (0.000, 0.000, 0.000), P at (0.153, 0.347, 0.500) and Os at (0.144, 0.644, 0.000).